(1)
The following is a GGA-PBE calculation of a relaxed La3Pm2Tm crystal, from Alexandria.

* DFT total energy: -4.76 eV/atom
* excess energy over the best structure of this formula in the dataset: 10 meV/atom
* energy of formation: 0.173 eV/f.u.
* D(E_F): 7.45 states/eV/f.u.
* calculated volume: 420.8 Å³/cell

Unit cell a=6.3782 b=6.3781 c=11.9451 alpha=90.00 beta=90.00 gamma=120.00
With the nearest neighbours (Å) after each atom.
Fractional coordinates of all 12 atoms:
La: 0.6694 0.6694 0.7500  6 La 3.65-3.70, 2 Tm 3.66, 4 Pm 3.67
La: 0.6694 0.0000 0.2500  6 La 3.65-3.70, 2 Tm 3.66, 4 Pm 3.67
La: 0.3306 0.3306 0.2500  6 La 3.65-3.70, 2 Tm 3.66, 4 Pm 3.67
La: 0.3306 0.0000 0.7500  6 La 3.65-3.70, 2 Tm 3.66, 4 Pm 3.67
La: 0.0000 0.6693 0.2500  6 La 3.65-3.70, 2 Tm 3.66, 4 Pm 3.67
La: 0.0000 0.3307 0.7500  6 La 3.65-3.70, 2 Tm 3.66, 4 Pm 3.67
Pm: 0.3333 0.6667 0.5000  6 La 3.67, 3 Pm 3.68, 3 Tm 3.68
Pm: 0.3333 0.6667 0.0000  6 La 3.67, 3 Pm 3.68, 3 Tm 3.68
Pm: 0.6667 0.3333 0.0000  6 La 3.67, 3 Pm 3.68, 3 Tm 3.68
Pm: 0.6667 0.3333 0.5000  6 La 3.67, 3 Pm 3.68, 3 Tm 3.68
Tm: 0.0000 0.0000 0.5000  6 La 3.66, 6 Pm 3.68
Tm: 0.0000 0.0000 0.0000  6 La 3.66, 6 Pm 3.68

***

(2)
The following is a GGA-PBE calculation of a relaxed La4Pm10Tm crystal, from Alexandria.

* DFT total energy: -4.56 eV/atom
* energy of formation: 3.337 eV/f.u.
* D(E_F): 20.99 states/eV/f.u.
* calculated volume: 537.9 Å³/cell

Unit cell a=7.9713 b=9.1308 c=9.1308 alpha=79.02 beta=64.12 gamma=64.12
With the nearest neighbours (Å) after each atom.
Fractional coordinates of all 15 atoms:
La: 0.7731 0.9997 0.4541  8 Pm 3.51-3.66, 1 Tm 3.73
La: 0.2272 0.5459 0.9997  8 Pm 3.51-3.66, 1 Tm 3.73
La: 0.7728 0.4541 0.0003  8 Pm 3.51-3.66, 1 Tm 3.73
La: 0.2269 0.0003 0.5459  8 Pm 3.51-3.66, 1 Tm 3.73
Pm: 0.9198 0.7907 0.7908  1 Tm 3.35, 4 Pm 3.36-3.44, 4 La 3.51-3.66
Pm: 0.7106 0.2092 0.7907  1 Tm 3.35, 4 Pm 3.36-3.44, 4 La 3.51-3.66
Pm: 0.5013 0.2093 0.2092  1 Tm 3.35, 4 Pm 3.36-3.44, 4 La 3.51-3.66
Pm: 0.4987 0.7907 0.7908  1 Tm 3.35, 4 Pm 3.36-3.44, 4 La 3.51-3.66
Pm: 0.2894 0.2092 0.7907  1 Tm 3.35, 4 Pm 3.36-3.44, 4 La 3.51-3.66
Pm: 0.7500 0.5000 0.5000  4 Pm 3.39
Pm: 0.0802 0.2093 0.2092  1 Tm 3.35, 4 Pm 3.36-3.44, 4 La 3.51-3.66
Pm: 0.7106 0.7908 0.2093  1 Tm 3.35, 4 Pm 3.36-3.44, 4 La 3.51-3.66
Pm: 0.2500 0.5000 0.5000  4 Pm 3.39
Pm: 0.2894 0.7908 0.2093  1 Tm 3.35, 4 Pm 3.36-3.44, 4 La 3.51-3.66
Tm: 0.0000 0.0000 0.0000  8 Pm 3.35, 4 La 3.73

***

(3)
The following is a GGA-PBE calculation of a relaxed La3PmTm12 crystal, from Alexandria.

* DFT total energy: -4.54 eV/atom
* energy of formation: 0.618 eV/f.u.
* D(E_F): 26.48 states/eV/f.u.
* calculated volume: 507.1 Å³/cell

Unit cell a=5.0230 b=5.0230 c=20.0988 alpha=90.00 beta=90.00 gamma=90.00
With the nearest neighbours (Å) after each atom.
Fractional coordinates of all 16 atoms:
Tm: 0.0000 0.5000 0.3744  4 La 3.55-3.56, 8 Tm 3.55-3.56
Tm: 0.5000 0.5000 0.2486  4 La 3.55, 8 Tm 3.56-3.57
Tm: 0.5000 0.0000 0.1227  2 Pm 3.52, 8 Tm 3.52-3.57, 2 La 3.58
Tm: 0.5000 0.5000 0.5000  4 La 3.55, 8 Tm 3.56
Tm: 0.5000 0.0000 0.6256  4 La 3.55-3.56, 8 Tm 3.55-3.56
Tm: 0.5000 0.0000 0.3744  4 La 3.55-3.56, 8 Tm 3.55-3.56
Tm: 0.5000 0.0000 0.8773  2 Pm 3.52, 8 Tm 3.52-3.57, 2 La 3.58
Tm: 0.5000 0.5000 0.0000  8 Tm 3.52, 4 Pm 3.55
Tm: 0.0000 0.5000 0.8773  2 Pm 3.52, 8 Tm 3.52-3.57, 2 La 3.58
Tm: 0.5000 0.5000 0.7514  4 La 3.55, 8 Tm 3.56-3.57
Tm: 0.0000 0.5000 0.6256  4 La 3.55-3.56, 8 Tm 3.55-3.56
Tm: 0.0000 0.5000 0.1227  2 Pm 3.52, 8 Tm 3.52-3.57, 2 La 3.58
La: 0.0000 0.0000 0.2499  12 Tm 3.55-3.58
La: 0.0000 0.0000 0.5000  12 Tm 3.55-3.56
La: 0.0000 0.0000 0.7501  12 Tm 3.55-3.58
Pm: 0.0000 0.0000 0.0000  12 Tm 3.52-3.55

***

(4)
The following is a GGA-PBE calculation of a relaxed LaPm10Tm4 crystal, from Alexandria.

* DFT total energy: -4.18 eV/atom
* energy of formation: 7.685 eV/f.u.
* D(E_F): 27.70 states/eV/f.u.
* calculated volume: 552.8 Å³/cell

Unit cell a=6.8460 b=9.6156 c=9.6156 alpha=82.72 beta=69.15 gamma=69.15
With the nearest neighbours (Å) after each atom.
Fractional coordinates of all 15 atoms:
Pm: 0.5348 0.8389 0.5836  4 Pm 3.14-3.48, 3 Tm 3.35-3.51
Pm: 0.2500 0.5000 0.5000  6 Pm 3.14-3.42
Pm: 0.1184 0.4164 0.8389  4 Pm 3.14-3.48, 3 Tm 3.35-3.51
Pm: 0.0427 0.8389 0.5836  4 Pm 3.14-3.48, 3 Tm 3.35-3.51
Pm: 0.7500 0.5000 0.5000  6 Pm 3.14-3.42
Pm: 0.6263 0.4164 0.8389  4 Pm 3.14-3.48, 3 Tm 3.35-3.51
Pm: 0.9573 0.1611 0.4164  4 Pm 3.14-3.48, 3 Tm 3.35-3.51
Pm: 0.8816 0.5836 0.1611  4 Pm 3.14-3.48, 3 Tm 3.35-3.51
Pm: 0.3737 0.5836 0.1611  4 Pm 3.14-3.48, 3 Tm 3.35-3.51
Pm: 0.4652 0.1611 0.4164  4 Pm 3.14-3.48, 3 Tm 3.35-3.51
La: 0.0000 0.0000 0.0000  8 Tm 4.19, 8 Pm 4.35
Tm: 0.6770 0.7554 0.8906  6 Pm 3.35-3.51, 2 Tm 3.41
Tm: 0.5676 0.1094 0.7554  6 Pm 3.35-3.51, 2 Tm 3.41
Tm: 0.4324 0.8906 0.2446  6 Pm 3.35-3.51, 2 Tm 3.41
Tm: 0.3230 0.2446 0.1094  6 Pm 3.35-3.51, 2 Tm 3.41